Entry 1:
This record from the Alexandria database describes crystalline Ce3Nd3HoSe8 at its relaxed geometry. The functional is GGA-PBE.

ΔE_f (raw) = -179.5 kJ/mol of atoms
Fermi-level density of states = 21.37 states/eV/f.u.
total energy = -6.164 eV per atom
symmetry = R-3m, No. 166
V = 28.01 Å³/atom

abc: 8.4033 8.4051 8.4116
angles: 119.99 90.00 119.99
Last column: nearest neighbours and their distance in Å.
Positions (direct):
Se (0.7542, 0.9991, 0.7440)  1 Ho 2.91, 2 Ce 2.97, 2 Nd 2.98
Se (0.7492, 0.4984, 0.7483)  3 Ce 2.96-2.97, 3 Nd 2.98
Se (0.2508, 0.5016, 0.2517)  3 Ce 2.96-2.97, 3 Nd 2.98
Se (0.7550, 0.5101, 0.2562)  1 Ho 2.91, 2 Ce 2.97, 2 Nd 2.98
Nd (0.5000, 0.5000, 0.0000)  6 Se 2.98
Ce (0.5000, 0.5000, 0.5000)  6 Se 2.97
Se (0.2458, 0.0009, 0.2560)  1 Ho 2.91, 2 Ce 2.97, 2 Nd 2.98
Ce (0.5000, 0.0000, 0.5000)  6 Se 2.96-2.97
Nd (0.0000, 0.5000, 0.0000)  6 Se 2.98
Ho (0.0000, 0.0000, 0.5000)  6 Se 2.91
Se (0.2450, 0.9991, 0.7440)  1 Ho 2.91, 2 Ce 2.97, 2 Nd 2.98
Se (0.2450, 0.4899, 0.7438)  1 Ho 2.91, 2 Ce 2.97, 2 Nd 2.98
Ce (0.0000, 0.5000, 0.5000)  6 Se 2.97
Se (0.7550, 0.0009, 0.2560)  1 Ho 2.91, 2 Ce 2.97, 2 Nd 2.98
Nd (0.0000, 0.0000, 0.0000)  6 Se 2.98

---

Entry 2:
This record from the Alexandria database describes crystalline FeNiI6 at its relaxed geometry. The functional is GGA-PBE.

ΔE_f (raw) = -1.8 kJ/mol of atoms
Fermi-level density of states = 7.84 states/eV/f.u.
total energy = -2.961 eV per atom
symmetry = C2/m, No. 12
V = 35.25 Å³/atom

abc: 7.0213 7.1450 7.1450
angles: 121.21 101.11 101.11
Last column: nearest neighbours and their distance in Å.
Positions (direct):
Fe (0.0000, 0.0000, 0.0000)  6 I 2.64-2.78
I (0.7723, 0.2233, 0.2233)  1 Fe 2.64
I (0.7300, 0.5810, 0.8720)  1 Ni 2.53, 1 Fe 2.78
I (0.2700, 0.1280, 0.4190)  1 Ni 2.53, 1 Fe 2.78
Ni (0.5000, 0.5000, 0.5000)  4 I 2.53
I (0.2277, 0.7767, 0.7767)  1 Fe 2.64
I (0.7300, 0.8720, 0.5810)  1 Ni 2.53, 1 Fe 2.78
I (0.2700, 0.4190, 0.1280)  1 Ni 2.53, 1 Fe 2.78

---

Entry 3:
This record from the Alexandria database describes crystalline Y2HfTcIr at its relaxed geometry. The functional is GGA-PBE.

Fermi-level density of states = 3.61 states/eV/f.u.
total energy = -7.864 eV per atom
formation enthalpy at 0 K = 0.557 eV per atom
symmetry = P4/mmm, No. 123
V = 25.56 Å³/atom

abc: 5.1311 4.8548 5.1311
angles: 90.00 90.00 90.00
Last column: nearest neighbours and their distance in Å.
Positions (direct):
Y (0.5000, 0.0000, 0.0000)  2 Tc 2.57
Y (0.0000, 0.0000, 0.5000)  2 Tc 2.57
Hf (0.0000, 0.5000, 0.0000)  2 Tc 2.43
Ir (0.5000, 0.5000, 0.5000)  8 Y 3.53, 4 Hf 3.63
Tc (0.0000, 0.0000, 0.0000)  2 Hf 2.43, 4 Y 2.57

---

The calculation returns the following M_tot values, one per record and in order: 3.53; 3.36; 0.00 Bohr magnetons per cell.